# 1
Here is crystalline YCoBr2 at its relaxed geometry from the Alexandria database. Energies are from GGA-PBE.

Values from the calculation:
Excess energy over the best structure of this formula in the dataset = 0.407 eV/atom
Spin magnetization = 1.6 μB/f.u.
Crystal system = trigonal
Formation energy without anion corrections = -0.34 eV per atom

a b c (Å): 3.616 3.616 26.348
angles (deg): 90.00 90.00 120.00
Atoms (fractional coordinates):
Y (0.000, 0.000, 0.000)
Y (0.333, 0.667, 0.667)
Y (0.667, 0.333, 0.333)
Co (0.000, 0.000, 0.500)
Co (0.333, 0.667, 0.167)
Co (0.667, 0.333, 0.833)
Br (0.000, 0.000, 0.411)
Br (0.000, 0.000, 0.589)
Br (0.333, 0.667, 0.078)
Br (0.333, 0.667, 0.256)
Br (0.667, 0.333, 0.744)
Br (0.667, 0.333, 0.922)

# 2
Here is crystalline TaMn2As at its relaxed geometry from the Alexandria database. Energies are from GGA-PBE.

Values from the calculation:
DFT formation energy = 30.8 kJ per mole of atoms
Spin magnetization = 5.7 μB/f.u.
Crystal system = tetragonal

a b c (Å): 7.004 7.004 5.206
angles (deg): 90.00 90.00 90.00
Atoms (fractional coordinates):
Ta (0.000, 0.000, 0.000)
Ta (0.000, 0.500, 0.250)
Ta (0.500, 0.000, 0.750)
Ta (0.500, 0.500, 0.500)
Mn (0.223, 0.250, 0.625)
Mn (0.250, 0.723, 0.875)
Mn (0.250, 0.777, 0.375)
Mn (0.277, 0.250, 0.125)
Mn (0.723, 0.750, 0.125)
Mn (0.750, 0.223, 0.375)
Mn (0.750, 0.277, 0.875)
Mn (0.777, 0.750, 0.625)
As (0.000, 0.000, 0.500)
As (0.000, 0.500, 0.750)
As (0.500, 0.000, 0.250)
As (0.500, 0.500, 0.000)

# 3
Here is crystalline Ba2MgBr at its relaxed geometry from the Alexandria database. Energies are from GGA-PBE.

Values from the calculation:
Excess energy over the best structure of this formula in the dataset = 0.050 eV/atom
Spin magnetization = 0.9 μB/f.u.
Crystal system = orthorhombic
Formation energy without anion corrections = -0.70 eV per atom

a b c (Å): 4.976 4.987 7.154
angles (deg): 90.00 90.00 90.00
Atoms (fractional coordinates):
Ba (0.000, 0.000, 0.000)
Ba (0.500, 0.500, 0.498)
Mg (0.500, 0.500, 0.997)
Br (0.000, 0.000, 0.499)

Look up the spin magnetization of the third one. 0.9 μB/f.u.

Which of these has the lowest spin magnetization? Ba2MgBr